The following is a PBE-GGA calculation of crystalline Sr2LaAs at its relaxed geometry, from Alexandria via LeMat-Bulk.

a b c (Å): 10.9937 10.9937 10.9937
angles (deg): 22.62 22.62 22.62
Positions (direct):
Sr  0.2196  0.2196  0.2196
Sr  0.7804  0.7804  0.7804
La  0.0000  0.0000  0.0000
As  0.5000  0.5000  0.5000

**Final energy**: -3.6204 eV per atom
**Size of the total moment**: 0.1 μB/f.u.
**V**: 43.09 A^3/atom